Material: TlCrF3
Method: DFT, PBE+U
State: relaxed

abc: 3.560 10.979 9.036
angles: 90.00 90.00 90.00
Last column: magnetic moment on the atom in μB.
Sites, in units of the cell vectors:
Tl  0.750  0.816  0.008  0.00
Tl  0.250  0.684  0.508  0.00
Tl  0.750  0.316  0.492  0.00
Tl  0.250  0.184  0.992  0.00
Cr  0.250  0.022  0.656  3.81
Cr  0.250  0.522  0.844  3.81
Cr  0.750  0.478  0.156  3.81
Cr  0.750  0.978  0.344  3.81
F  0.250  0.590  0.055  0.01
F  0.750  0.410  0.945  0.01
F  0.250  0.090  0.445  0.01
F  0.750  0.910  0.555  0.01
F  0.250  0.440  0.649  0.00
F  0.750  0.060  0.149  0.00
F  0.250  0.940  0.851  0.00
F  0.750  0.625  0.790  0.02
F  0.250  0.375  0.210  0.02
F  0.750  0.125  0.710  0.02
F  0.750  0.560  0.351  0.00
F  0.250  0.875  0.290  0.02

Calculated values
- energy above the most stable polymorph in this dataset (meV per atom) = 55